Below is a relaxed structure of Pm12AsPb6, with properties calculated at the PBE level.

Calculated values
D(E_F): 1.18 states/eV/atom
energy: -4.7779 eV per atom
calculated volume: 679.6 Å³ per cell
formation enthalpy at 0 K: -0.362 eV/atom

```
Pm12AsPb6
1.0
6.7785 3.9136 4.2696
-6.7785 3.9136 4.2696
0.0000 -7.8271 4.2696
Pm As Pb
12 1 6
direct
0.0172 0.9308 0.6771 Pm
0.0692 0.3229 0.9828 Pm
0.1944 0.5549 0.4232 Pm
0.3229 0.9828 0.0692 Pm
0.4232 0.1944 0.5549 Pm
0.4451 0.5768 0.8056 Pm
0.5549 0.4232 0.1944 Pm
0.5768 0.8056 0.4451 Pm
0.6771 0.0172 0.9308 Pm
0.8056 0.4451 0.5768 Pm
0.9308 0.6771 0.0172 Pm
0.9828 0.0692 0.3229 Pm
0.0000 0.0000 0.0000 As
0.1219 0.3068 0.6400 Pb
0.3068 0.6400 0.1219 Pb
0.3600 0.8781 0.6932 Pb
0.6400 0.1219 0.3068 Pb
0.6932 0.3600 0.8781 Pb
0.8781 0.6932 0.3600 Pb
```

Below is a relaxed structure of PmAs2Pb, with properties calculated at the PBE level.

Calculated values
D(E_F): 0.41 states/eV/atom
energy: -5.0215 eV per atom
calculated volume: 101.1 Å³ per cell
formation enthalpy at 0 K: -0.582 eV/atom
excess energy over the best structure of this formula in the dataset: 0 meV/atom

```
PmAs2Pb
1.0
3.9637 0.0000 0.0000
0.0000 3.9637 0.0000
0.0000 0.0000 6.4323
Pm As Pb
1 2 1
direct
0.0000 0.0000 0.0000 Pm
0.5000 0.5000 0.2107 As
0.5000 0.5000 0.7893 As
0.0000 0.0000 0.5000 Pb
```

Below is a relaxed structure of Pm2AsPb, with properties calculated at the PBE level.

Calculated values
D(E_F): 1.32 states/eV/atom
energy: -5.0883 eV per atom
calculated volume: 110.7 Å³ per cell
formation enthalpy at 0 K: -0.624 eV/atom
excess energy over the best structure of this formula in the dataset: 380 meV/atom

```
Pm2AsPb
1.0
0.0000 3.8115 3.8115
3.8115 0.0000 3.8115
3.8115 3.8115 0.0000
Pm As Pb
2 1 1
direct
0.2500 0.2500 0.2500 Pm
0.7500 0.7500 0.7500 Pm
0.0000 0.0000 0.0000 As
0.5000 0.5000 0.5000 Pb
```

Below is a relaxed structure of PmAsPb2, with properties calculated at the PBE level.

Calculated values
D(E_F): 0.72 states/eV/atom
energy: -4.6153 eV per atom
calculated volume: 109.2 Å³ per cell
formation enthalpy at 0 K: -0.411 eV/atom

```
PmAsPb2
1.0
4.5048 0.0000 0.0000
0.0000 4.5048 0.0000
0.0000 0.0000 5.3806
Pm As Pb
1 1 2
direct
0.0000 0.0000 0.0000 Pm
0.5000 0.5000 0.0000 As
0.0000 0.5000 0.5000 Pb
0.5000 0.0000 0.5000 Pb
```